# 1
This record from Alexandria describes an optimized crystal structure of CdCl. The functional is PBE-GGA.

CIF file:
```
data_CdCl
_chemical_formula_sum 'Cd2 Cl2'
_cell_length_a 5.1205
_cell_length_b 5.1205
_cell_length_c 5.1205
_cell_angle_alpha 60.00
_cell_angle_beta 60.00
_cell_angle_gamma 60.00
_symmetry_space_group_name_H-M 'P 1'
_symmetry_Int_Tables_number 1
_symmetry_space_group_name_Hall 'P 1'
loop_
_atom_site_label
_atom_site_type_symbol
_atom_site_fract_x
_atom_site_fract_y
_atom_site_fract_z
Cl1 Cl 0.5000 0.5000 0.5000
Cl2 Cl 0.7500 0.7500 0.7500
Cd1 Cd 0.0000 0.0000 0.0000
Cd2 Cd 0.2500 0.2500 0.2500
```

Properties
The crystal system is cubic. The value obtained for the uncorrected formation energy is -0.173 eV/atom. The calculated total energy is -1.55 eV/atom.

=====

# 2
This record from Alexandria describes an optimized crystal structure of CdCl. The functional is PBE-GGA.

CIF file:
```
data_CdCl
_chemical_formula_sum 'Cd1 Cl1'
_cell_length_a 3.8276
_cell_length_b 3.8276
_cell_length_c 4.0429
_cell_angle_alpha 90.00
_cell_angle_beta 90.00
_cell_angle_gamma 120.00
_symmetry_space_group_name_H-M 'P 1'
_symmetry_Int_Tables_number 1
_symmetry_space_group_name_Hall 'P 1'
loop_
_atom_site_label
_atom_site_type_symbol
_atom_site_fract_x
_atom_site_fract_y
_atom_site_fract_z
Cl1 Cl 0.6667 0.3333 0.5000
Cd1 Cd 0.0000 0.0000 0.0000
```

Properties
The crystal system is hexagonal. The value obtained for the uncorrected formation energy is -0.358 eV/atom. The calculated total energy is -1.74 eV/atom.

=====

# 3
This record from Alexandria describes an optimized crystal structure of Cd3Cl. The functional is PBE-GGA.

CIF file:
```
data_Cd3Cl
_chemical_formula_sum 'Cd12 Cl4'
_cell_length_a 6.2196
_cell_length_b 6.2196
_cell_length_c 12.3409
_cell_angle_alpha 90.00
_cell_angle_beta 90.00
_cell_angle_gamma 120.00
_symmetry_space_group_name_H-M 'P 1'
_symmetry_Int_Tables_number 1
_symmetry_space_group_name_Hall 'P 1'
loop_
_atom_site_label
_atom_site_type_symbol
_atom_site_fract_x
_atom_site_fract_y
_atom_site_fract_z
Cl1 Cl 0.0000 0.0000 0.0000
Cl2 Cl 0.0000 0.0000 0.5000
Cl3 Cl 0.3333 0.6667 0.2500
Cl4 Cl 0.6667 0.3333 0.7500
Cd1 Cd 0.5000 0.0000 0.0000
Cd2 Cd 0.5000 0.0000 0.5000
Cd3 Cd 0.0000 0.5000 0.0000
Cd4 Cd 0.5000 0.5000 0.0000
Cd5 Cd 0.5000 0.5000 0.5000
Cd6 Cd 0.0000 0.5000 0.5000
Cd7 Cd 0.8345 0.6691 0.2500
Cd8 Cd 0.1655 0.3309 0.7500
Cd9 Cd 0.3309 0.1655 0.2500
Cd10 Cd 0.8345 0.1655 0.2500
Cd11 Cd 0.1655 0.8345 0.7500
Cd12 Cd 0.6691 0.8345 0.7500
```

Properties
The crystal system is hexagonal. The value obtained for the uncorrected formation energy is -0.114 eV/atom. The calculated total energy is -1.26 eV/atom.

=====

# 4
This record from Alexandria describes an optimized crystal structure of Cd4Cl5. The functional is PBE-GGA.

CIF file:
```
data_Cd4Cl5
_chemical_formula_sum 'Cd8 Cl10'
_cell_length_a 8.5463
_cell_length_b 8.5463
_cell_length_c 7.1468
_cell_angle_alpha 90.00
_cell_angle_beta 90.00
_cell_angle_gamma 120.00
_symmetry_space_group_name_H-M 'P 1'
_symmetry_Int_Tables_number 1
_symmetry_space_group_name_Hall 'P 1'
loop_
_atom_site_label
_atom_site_type_symbol
_atom_site_fract_x
_atom_site_fract_y
_atom_site_fract_z
Cl1 Cl 0.0000 0.7670 0.2500
Cl2 Cl 0.2330 0.2330 0.2500
Cl3 Cl 0.7670 0.0000 0.2500
Cl4 Cl 0.0000 0.2330 0.7500
Cl5 Cl 0.7670 0.7670 0.7500
Cl6 Cl 0.2330 0.0000 0.7500
Cl7 Cl 0.6667 0.3333 0.0000
Cl8 Cl 0.3333 0.6667 0.5000
Cl9 Cl 0.3333 0.6667 0.0000
Cl10 Cl 0.6667 0.3333 0.5000
Cd1 Cd 0.0000 0.0000 0.0000
Cd2 Cd 0.0000 0.0000 0.5000
Cd3 Cd 0.0000 0.4274 0.2500
Cd4 Cd 0.5726 0.5726 0.2500
Cd5 Cd 0.4274 0.0000 0.2500
Cd6 Cd 0.0000 0.5726 0.7500
Cd7 Cd 0.4274 0.4274 0.7500
Cd8 Cd 0.5726 0.0000 0.7500
```

Properties
The crystal system is hexagonal. The value obtained for the uncorrected formation energy is -0.551 eV/atom. The calculated total energy is -1.98 eV/atom.

=====

# 5
This record from Alexandria describes an optimized crystal structure of Cd5Cl3. The functional is PBE-GGA.

CIF file:
```
data_Cd5Cl3
_chemical_formula_sum 'Cd10 Cl6'
_cell_length_a 8.9521
_cell_length_b 9.1295
_cell_length_c 8.4885
_cell_angle_alpha 99.97
_cell_angle_beta 98.94
_cell_angle_gamma 133.75
_symmetry_space_group_name_H-M 'P 1'
_symmetry_Int_Tables_number 1
_symmetry_space_group_name_Hall 'P 1'
loop_
_atom_site_label
_atom_site_type_symbol
_atom_site_fract_x
_atom_site_fract_y
_atom_site_fract_z
Cl1 Cl 0.6952 0.8697 0.0825
Cl2 Cl 0.1127 0.2871 0.9175
Cl3 Cl 0.2873 0.2123 0.5000
Cl4 Cl 0.7892 0.7186 0.5000
Cl5 Cl 0.0936 0.8703 0.9861
Cl6 Cl 0.6075 0.3842 0.0139
Cd1 Cd 0.3091 0.7716 0.5000
Cd2 Cd 0.7703 0.1702 0.5000
Cd3 Cd 0.7022 0.8920 0.7171
Cd4 Cd 0.3785 0.0370 0.2818
Cd5 Cd 0.8223 0.4434 0.3014
Cd6 Cd 0.2600 0.4845 0.6974
Cd7 Cd 0.5967 0.2552 0.7182
Cd8 Cd 0.4851 0.6749 0.2829
Cd9 Cd 0.0626 0.2871 0.3026
Cd10 Cd 0.0209 0.6419 0.6986
```

Properties
The crystal system is monoclinic. The value obtained for the uncorrected formation energy is -0.432 eV/atom. The calculated total energy is -1.70 eV/atom.

=====

# 6
This record from Alexandria describes an optimized crystal structure of Cd3Cl. The functional is PBE-GGA.

CIF file:
```
data_Cd3Cl
_chemical_formula_sum 'Cd3 Cl1'
_cell_length_a 5.7671
_cell_length_b 5.7671
_cell_length_c 5.7671
_cell_angle_alpha 142.22
_cell_angle_beta 117.71
_cell_angle_gamma 75.20
_symmetry_space_group_name_H-M 'P 1'
_symmetry_Int_Tables_number 1
_symmetry_space_group_name_Hall 'P 1'
loop_
_atom_site_label
_atom_site_type_symbol
_atom_site_fract_x
_atom_site_fract_y
_atom_site_fract_z
Cl1 Cl 0.5000 0.0000 0.5000
Cd1 Cd 0.2515 0.2515 0.0000
Cd2 Cd 0.7485 0.7485 0.0000
Cd3 Cd 0.0000 0.5000 0.5000
```

Properties
The crystal system is orthorhombic. The value obtained for the uncorrected formation energy is -0.191 eV/atom. The calculated total energy is -1.34 eV/atom.